Entry 1:
Here is BaCa3 at its PBEsol-relaxed geometry from the Alexandria database. Energies are from SCAN.

It has space group P-6m2 (No. 187), with a = 3.9631 Å, b = 3.9631 Å, c = 13.0240 Å, α = 90.00°, β = 90.00° and γ = 120.00°. The inequivalent atoms are Ba at (0.0000, 0.0000, 0.0000), Ca at (0.0000, 0.0000, 0.5000) and Ca at (0.3333, 0.6667, 0.2601).

The energy of formation from the pure elements is 0.05 eV per atom.

Entry 2:
Here is BaCa at its PBEsol-relaxed geometry from the Alexandria database. Energies are from SCAN.

It has space group Pbcm (No. 57), with a = 13.133 Å, b = 11.398 Å, c = 7.828 Å, α = 90.00°, β = 90.00° and γ = 90.00°. The inequivalent atoms are Ba at (0.123, 0.078, 0.250), Ba at (0.125, 0.750, 0.000), Ba at (0.374, 0.591, 0.250), Ca at (0.134, 0.092, 0.750), Ca at (0.376, 0.250, 0.000) and Ca at (0.383, 0.573, 0.750).

As for the polymorph energy (0 for the lowest one): 0.040 eV per atom. The energy of formation from the pure elements is 0.07 eV per atom.

Entry 3:
Here is BaCa3 at its PBEsol-relaxed geometry from the Alexandria database. Energies are from SCAN.

It has space group R-3m (No. 166, hexagonal axes), with a = 12.5608 Å, b = 12.5608 Å, c = 3.8441 Å, α = 90.00°, β = 90.00° and γ = 120.00°. The inequivalent atoms are Ba at (0.0000, 0.0000, 0.0000) and Ca at (0.0000, 0.5000, 0.0000).

The energy of formation from the pure elements is 0.06 eV per atom.

Entry 4:
Here is BaCa2 at its PBEsol-relaxed geometry from the Alexandria database. Energies are from SCAN.

It has space group Fd-3m (No. 227, origin choice 2), with a = 10.554 Å, b = 10.554 Å, c = 10.554 Å, α = 90.00°, β = 90.00° and γ = 90.00°. The inequivalent atoms are Ba at (0.125, 0.125, 0.125) and Ca at (0.000, 0.000, 0.500).

As for the polymorph energy (0 for the lowest one): 0.000 eV per atom. The energy of formation from the pure elements is 0.04 eV per atom.

Entry 5:
Here is BaCa at its PBEsol-relaxed geometry from the Alexandria database. Energies are from SCAN.

It has space group P4/nmm (No. 129, origin choice 2), with a = 4.653 Å, b = 4.653 Å, c = 9.047 Å, α = 90.00°, β = 90.00° and γ = 90.00°. The inequivalent atoms are Ba at (0.250, 0.250, 0.146) and Ca at (0.250, 0.250, 0.605).

As for the polymorph energy (0 for the lowest one): 0.009 eV per atom. The energy of formation from the pure elements is 0.04 eV per atom.

Entry 6:
Here is Ba4Ca5 at its PBEsol-relaxed geometry from the Alexandria database. Energies are from SCAN.

It has space group P6_3/mcm (No. 193), with a = 11.3037 Å, b = 11.3037 Å, c = 7.7562 Å, α = 90.00°, β = 90.00° and γ = 120.00°. The inequivalent atoms are Ba at (0.0000, 0.0000, 0.0000), Ba at (0.0000, 0.3233, 0.2500), Ca at (0.0000, 0.3492, 0.7500) and Ca at (0.3333, 0.6667, 0.0000).

As for the polymorph energy (0 for the lowest one): 0.024 eV per atom. The energy of formation from the pure elements is 0.08 eV per atom.

Entry 7:
Here is BaCa3 at its PBEsol-relaxed geometry from the Alexandria database. Energies are from SCAN.

It has space group Pmm2 (No. 25), with a = 3.940 Å, b = 6.510 Å, c = 6.911 Å, α = 90.00°, β = 90.00° and γ = 90.00°. The inequivalent atoms are Ba at (0.000, 0.000, 0.000), Ca at (0.000, 0.500, 0.332), Ca at (0.500, 0.000, 0.500) and Ca at (0.500, 0.500, 0.822).

The energy of formation from the pure elements is 0.05 eV per atom.

Entry 8:
Here is BaCa2 at its PBEsol-relaxed geometry from the Alexandria database. Energies are from SCAN.

It has space group I4/mmm (No. 139), with a = 4.065 Å, b = 4.065 Å, c = 16.851 Å, α = 90.00°, β = 90.00° and γ = 90.00°. The inequivalent atoms are Ba at (0.000, 0.000, 0.000) and Ca at (0.000, 0.000, 0.325).

As for the polymorph energy (0 for the lowest one): 0.006 eV per atom. The energy of formation from the pure elements is 0.04 eV per atom.

Entry 9:
Here is Ba3Ca at its PBEsol-relaxed geometry from the Alexandria database. Energies are from SCAN.

It has space group P2/m (No. 10), with a = 4.108 Å, b = 6.684 Å, c = 7.816 Å, α = 90.00°, β = 99.78° and γ = 90.00°. The inequivalent atoms are Ba at (0.000, 0.000, 0.000), Ba at (0.249, 0.500, 0.744) and Ca at (0.500, 0.000, 0.500).

As for the polymorph energy (0 for the lowest one): 0.012 eV per atom. The energy of formation from the pure elements is 0.03 eV per atom.

Entry 10:
Here is Ba5Ca at its PBEsol-relaxed geometry from the Alexandria database. Energies are from SCAN.

It has space group P4/mmm (No. 123), with a = 4.845 Å, b = 4.845 Å, c = 14.120 Å, α = 90.00°, β = 90.00° and γ = 90.00°. The inequivalent atoms are Ba at (0.000, 0.000, 0.000), Ba at (0.000, 0.000, 0.347), Ba at (0.500, 0.500, 0.173) and Ca at (0.500, 0.500, 0.500).

As for the polymorph energy (0 for the lowest one): 0.000 eV per atom. The energy of formation from the pure elements is 0.02 eV per atom.

Entry 11:
Here is Ba3Ca at its PBEsol-relaxed geometry from the Alexandria database. Energies are from SCAN.

It has space group Pm-3m (No. 221), with a = 6.012 Å, b = 6.012 Å, c = 6.012 Å, α = 90.00°, β = 90.00° and γ = 90.00°. The inequivalent atoms are Ba at (0.000, 0.000, 0.500) and Ca at (0.500, 0.500, 0.500).

As for the polymorph energy (0 for the lowest one): 0.037 eV per atom. The energy of formation from the pure elements is 0.05 eV per atom.

Entry 12:
Here is BaCa5 at its PBEsol-relaxed geometry from the Alexandria database. Energies are from SCAN.

It has space group Cm (No. 8), with a = 14.898 Å, b = 3.982 Å, c = 9.553 Å, α = 90.00°, β = 105.55° and γ = 90.00°. The inequivalent atoms are Ba at (0.000, 0.000, 0.000), Ca at (0.114, 0.500, 0.714), Ca at (0.170, 0.500, 0.341), Ca at (0.274, 0.000, 0.056), Ca at (0.329, 0.000, 0.657) and Ca at (0.443, 0.500, 0.391).

As for the polymorph energy (0 for the lowest one): 0.000 eV per atom. The energy of formation from the pure elements is 0.02 eV per atom.

Entry 13:
Here is Ba2Ca at its PBEsol-relaxed geometry from the Alexandria database. Energies are from SCAN.

It has space group P-3m1 (No. 164), with a = 4.1686 Å, b = 4.1686 Å, c = 10.3262 Å, α = 90.00°, β = 90.00° and γ = 120.00°. The inequivalent atoms are Ba at (0.3333, 0.6667, 0.3227) and Ca at (0.0000, 0.0000, 0.0000).

As for the polymorph energy (0 for the lowest one): 0.034 eV per atom. The energy of formation from the pure elements is 0.07 eV per atom.

Entry 14:
Here is BaCa2 at its PBEsol-relaxed geometry from the Alexandria database. Energies are from SCAN.

It has space group Immm (No. 71), with a = 4.075 Å, b = 5.576 Å, c = 12.210 Å, α = 90.00°, β = 90.00° and γ = 90.00°. The inequivalent atoms are Ba at (0.000, 0.000, 0.000) and Ca at (0.000, 0.000, 0.328).

As for the polymorph energy (0 for the lowest one): 0.008 eV per atom. The energy of formation from the pure elements is 0.04 eV per atom.

Entry 15:
Here is Ba3Ca at its PBEsol-relaxed geometry from the Alexandria database. Energies are from SCAN.

It has space group P4/mmm (No. 123), with a = 4.783 Å, b = 4.783 Å, c = 9.378 Å, α = 90.00°, β = 90.00° and γ = 90.00°. The inequivalent atoms are Ba at (0.000, 0.000, 0.000), Ba at (0.500, 0.500, 0.265) and Ca at (0.000, 0.000, 0.500).

As for the polymorph energy (0 for the lowest one): 0.010 eV per atom. The energy of formation from the pure elements is 0.03 eV per atom.

Entry 16:
Here is BaCa at its PBEsol-relaxed geometry from the Alexandria database. Energies are from SCAN.

It has space group Cm (No. 8), with a = 15.625 Å, b = 4.183 Å, c = 9.949 Å, α = 90.00°, β = 105.44° and γ = 90.00°. The inequivalent atoms are Ba at (0.000, 0.000, 0.000), Ba at (0.058, 0.000, 0.616), Ba at (0.177, 0.500, 0.337), Ca at (0.233, 0.500, 0.950), Ca at (0.334, 0.000, 0.672) and Ca at (0.390, 0.000, 0.277).

As for the polymorph energy (0 for the lowest one): 0.000 eV per atom. The energy of formation from the pure elements is 0.03 eV per atom.

Entry 17:
Here is Ba2Ca at its PBEsol-relaxed geometry from the Alexandria database. Energies are from SCAN.

It has space group P4/mmm (No. 123), with a = 6.625 Å, b = 6.625 Å, c = 4.307 Å, α = 90.00°, β = 90.00° and γ = 90.00°. The inequivalent atoms are Ba at (0.000, 0.500, 0.000) and Ca at (0.000, 0.000, 0.500).

As for the polymorph energy (0 for the lowest one): 0.241 eV per atom. The energy of formation from the pure elements is 0.28 eV per atom.

Entry 18:
Here is Ba5Ca4 at its PBEsol-relaxed geometry from the Alexandria database. Energies are from SCAN.

It has space group P6_3/mcm (No. 193), with a = 11.4454 Å, b = 11.4454 Å, c = 7.9043 Å, α = 90.00°, β = 90.00° and γ = 120.00°. The inequivalent atoms are Ba at (0.0000, 0.3466, 0.2500), Ba at (0.3333, 0.6667, 0.0000), Ca at (0.0000, 0.0000, 0.0000) and Ca at (0.0000, 0.3126, 0.7500).

As for the polymorph energy (0 for the lowest one): 0.026 eV per atom. The energy of formation from the pure elements is 0.07 eV per atom.

Entry 19:
Here is Ba5Ca at its PBEsol-relaxed geometry from the Alexandria database. Energies are from SCAN.

It has space group Cmmm (No. 65), with a = 6.761 Å, b = 14.409 Å, c = 6.768 Å, α = 90.00°, β = 90.00° and γ = 90.00°. The inequivalent atoms are Ba at (0.000, 0.000, 0.000), Ba at (0.000, 0.161, 0.500), Ba at (0.000, 0.338, 0.000) and Ca at (0.000, 0.500, 0.500).

As for the polymorph energy (0 for the lowest one): 0.005 eV per atom. The energy of formation from the pure elements is 0.02 eV per atom.

Entry 20:
Here is BaCa2 at its PBEsol-relaxed geometry from the Alexandria database. Energies are from SCAN.

It has space group P6/mmm (No. 191), with a = 6.4515 Å, b = 6.4515 Å, c = 3.8683 Å, α = 90.00°, β = 90.00° and γ = 120.00°. The inequivalent atoms are Ba at (0.0000, 0.0000, 0.0000) and Ca at (0.3333, 0.6667, 0.5000).

As for the polymorph energy (0 for the lowest one): 0.033 eV per atom. The energy of formation from the pure elements is 0.07 eV per atom.